A plane-wave DFT calculation with PBE was carried out for a relaxed structure of PaCu4P2. Values from VASP.

For the calculated volume, the calculation gives 100.5 Å³/f.u. Its symmetry is P4_2/mnm. The calculation puts the total energy at -5.65 eV per atom.

Cell and atoms, written as Quantum ESPRESSO input:
```
&SYSTEM
  ibrav = 0, nat = 14, ntyp = 3
/
ATOMIC_SPECIES
Pa 231.04 Pa.upf
P 30.97 P.upf
Cu 63.55 Cu.upf
CELL_PARAMETERS angstrom
-1.6763 -2.5051 -2.4245
-3.7627 -2.7877 5.4819
-5.2973 4.7338 -1.2286
ATOMIC_POSITIONS angstrom
Pa -4.5300 0.9731 2.1266
Pa -0.8382 -1.2526 -1.2123
P -3.4222 -0.6975 0.0009
P -4.0923 -1.1722 4.0406
P -7.3141 0.1385 1.8279
P -4.9677 3.1184 0.2127
Cu -7.3255 2.4888 2.4934
Cu -2.1251 1.3717 0.0520
Cu -1.7345 -0.5426 1.7599
Cu -3.8883 -2.1292 1.8025
Cu -6.1942 -1.6339 2.8850
Cu -6.9349 0.5744 4.2013
Cu -4.5421 1.0749 -1.0562
Cu -6.8480 1.5703 0.0263
```